A plane-wave DFT calculation with PBE was carried out for a relaxed LaMg11Cd crystal.

Cell: 7.827 7.827 7.792 Å, 98.26 98.26 135.08°
Fractional coordinates of all 13 atoms:
La  0.000  0.000  0.000
Mg  0.000  0.000  0.500
Mg  0.000  0.500  0.000
Mg  0.002  0.352  0.353
Mg  0.287  0.500  0.784
Mg  0.352  0.002  0.353
Mg  0.500  0.000  0.000
Mg  0.500  0.287  0.784
Mg  0.500  0.713  0.216
Mg  0.648  0.998  0.647
Mg  0.713  0.500  0.216
Mg  0.998  0.648  0.647
Cd  0.500  0.500  0.500

Summary:
Space-group type ... C2/m, No. 12
ΔH_f (0 K) ... -1.2 eV per formula unit

A plane-wave DFT calculation with PBE was carried out for a relaxed La3MgCd2 crystal.

Cell: 5.552 16.741 3.954 Å, 90.00 90.00 90.00°
Fractional coordinates of all 12 atoms:
La  0.000  0.000  0.000
La  0.000  0.331  0.000
La  0.000  0.669  0.000
La  0.500  0.169  0.000
La  0.500  0.500  0.000
La  0.500  0.831  0.000
Mg  0.000  0.500  0.500
Mg  0.500  0.000  0.500
Cd  0.000  0.161  0.500
Cd  0.000  0.839  0.500
Cd  0.500  0.339  0.500
Cd  0.500  0.661  0.500

Summary:
Space-group type ... Cmmm, No. 65
ΔH_f (0 K) ... -1.6 eV per formula unit

A plane-wave DFT calculation with PBE was carried out for a relaxed LaMgCd4 crystal.

Cell: 8.624 4.979 6.997 Å, 90.00 90.08 90.00°
Fractional coordinates of all 12 atoms:
La  0.000  0.000  0.000
La  0.500  0.500  0.000
Mg  0.000  0.001  0.500
Mg  0.500  0.501  0.500
Cd  0.166  0.500  0.734
Cd  0.167  0.500  0.266
Cd  0.333  0.000  0.734
Cd  0.334  0.000  0.266
Cd  0.666  0.000  0.734
Cd  0.667  0.000  0.266
Cd  0.833  0.500  0.734
Cd  0.834  0.500  0.266

Summary:
Space-group type ... C2, No. 5
ΔH_f (0 K) ... -1.6 eV per formula unit

| no. | calculated volume (A^3/atom) |
| --- | --- |
| 1 | 24.027 |
| 2 | 30.626 |
| 3 | 25.032 |